DFT (PBE-GGA) results for crystalline NaLi3Hg12 at its relaxed geometry.

Cell lengths 4.493, 4.493, 18.241 Å; angles 90.00, 90.00, 90.00 degrees
Element x y z (fractional)
Na: 0.000 0.000 0.000
Li: 0.000 0.000 0.259
Li: 0.000 0.000 0.500
Li: 0.000 0.000 0.741
Hg: 0.000 0.500 0.133
Hg: 0.000 0.500 0.378
Hg: 0.000 0.500 0.622
Hg: 0.000 0.500 0.867
Hg: 0.500 0.000 0.133
Hg: 0.500 0.000 0.378
Hg: 0.500 0.000 0.622
Hg: 0.500 0.000 0.867
Hg: 0.500 0.500 0.000
Hg: 0.500 0.500 0.256
Hg: 0.500 0.500 0.500
Hg: 0.500 0.500 0.744

Formation enthalpy at 0 K (kJ/mol of atoms): -15.8
M_tot (μB/atom): 0.00

=====

DFT (PBE-GGA) results for crystalline Rb2HoNp2Se6 at its relaxed geometry.

Cell lengths 7.256, 7.256, 8.519 Å; angles 98.08, 98.08, 120.02 degrees
Element x y z (fractional)
Rb: 0.166 0.834 0.000
Rb: 0.834 0.166 0.000
Ho: 0.000 0.000 0.500
Np: 0.334 0.666 0.500
Np: 0.666 0.334 0.500
Se: 0.062 0.397 0.690
Se: 0.271 0.271 0.310
Se: 0.397 0.062 0.690
Se: 0.603 0.938 0.310
Se: 0.729 0.729 0.690
Se: 0.938 0.603 0.310

M_tot (μB/atom): 0.64
E_form (uncorrected) (meV/atom): -1404

=====

DFT (PBE-GGA) results for crystalline CeSc2FeN4 at its relaxed geometry.

Cell lengths 5.713, 5.713, 10.847 Å; angles 90.00, 90.00, 147.15 degrees
Element x y z (fractional)
Ce: 0.103 0.897 0.750
Ce: 0.897 0.103 0.250
Sc: 0.370 0.630 0.546
Sc: 0.370 0.630 0.954
Sc: 0.630 0.370 0.046
Sc: 0.630 0.370 0.454
Fe: 0.157 0.843 0.250
Fe: 0.843 0.157 0.750
N: 0.000 0.000 0.000
N: 0.000 0.000 0.500
N: 0.268 0.732 0.123
N: 0.268 0.732 0.377
N: 0.432 0.568 0.750
N: 0.568 0.432 0.250
N: 0.732 0.268 0.623
N: 0.732 0.268 0.877

M_tot (μB/atom): 0.00
E_form (uncorrected) (meV/atom): -1289

=====

DFT (PBE-GGA) results for crystalline Pm6MgTl5 at its relaxed geometry.

Cell lengths 9.505, 9.505, 9.505 Å; angles 146.47, 131.96, 59.86 degrees
Element x y z (fractional)
Pm: 0.080 0.332 0.748
Pm: 0.245 0.000 0.245
Pm: 0.417 0.668 0.748
Pm: 0.583 0.332 0.252
Pm: 0.755 0.000 0.755
Pm: 0.920 0.668 0.252
Mg: 0.500 0.500 0.000
Tl: 0.000 0.500 0.500
Tl: 0.167 0.167 0.000
Tl: 0.341 0.841 0.500
Tl: 0.659 0.159 0.500
Tl: 0.833 0.833 0.000

Formation enthalpy at 0 K (kJ/mol of atoms): -33.6
M_tot (μB/atom): 0.00

=====

DFT (PBE-GGA) results for crystalline CeSb5 at its relaxed geometry.

Cell lengths 4.479, 16.680, 4.502 Å; angles 90.00, 90.00, 90.00 degrees
Element x y z (fractional)
Ce: 0.000 0.000 0.000
Ce: 0.500 0.500 0.000
Sb: 0.000 0.153 0.500
Sb: 0.000 0.343 0.000
Sb: 0.000 0.500 0.500
Sb: 0.000 0.657 0.000
Sb: 0.000 0.847 0.500
Sb: 0.500 0.000 0.500
Sb: 0.500 0.157 0.000
Sb: 0.500 0.347 0.500
Sb: 0.500 0.653 0.500
Sb: 0.500 0.843 0.000

M_tot (μB/atom): 0.08
E_form (uncorrected) (meV/atom): -295

=====

DFT (PBE-GGA) results for crystalline Te2IrBr at its relaxed geometry.

Cell lengths 7.109, 7.109, 7.109 Å; angles 90.00, 90.00, 90.00 degrees
Element x y z (fractional)
Te: 0.000 0.000 0.000
Te: 0.000 0.500 0.500
Te: 0.250 0.250 0.250
Te: 0.250 0.750 0.750
Te: 0.500 0.000 0.500
Te: 0.500 0.500 0.000
Te: 0.750 0.250 0.750
Te: 0.750 0.750 0.250
Ir: 0.000 0.000 0.500
Ir: 0.000 0.500 0.000
Ir: 0.500 0.000 0.000
Ir: 0.500 0.500 0.500
Br: 0.250 0.250 0.750
Br: 0.250 0.750 0.250
Br: 0.750 0.250 0.250
Br: 0.750 0.750 0.750

M_tot (μB/atom): 0.00
E_form (uncorrected) (meV/atom): 865

=====

DFT (PBE-GGA) results for crystalline YAgP2 at its relaxed geometry.

Cell lengths 3.928, 3.938, 9.788 Å; angles 90.00, 90.00, 90.00 degrees
Element x y z (fractional)
Y: 0.000 0.000 0.000
Y: 0.500 0.500 0.500
Ag: 0.000 0.500 0.750
Ag: 0.500 0.000 0.250
P: 0.000 0.000 0.499
P: 0.000 0.500 0.250
P: 0.500 0.000 0.750
P: 0.500 0.500 0.999

Formation enthalpy at 0 K (kJ/mol of atoms): -39.7
M_tot (μB/atom): 0.00

=====

DFT (PBE-GGA) results for crystalline ScMnHRu2 at its relaxed geometry.

Cell lengths 4.230, 4.230, 3.470 Å; angles 90.00, 90.00, 90.00 degrees
Element x y z (fractional)
Sc: 0.000 0.000 0.000
Mn: 0.500 0.500 0.000
H: 0.500 0.500 0.500
Ru: 0.000 0.500 0.500
Ru: 0.500 0.000 0.500

E_tot (Ha/atom): -0.281
M_tot (μB/atom): 0.66

=====

Q: Which value of M_tot does entry 5 give?
A: 0.08 μB/atom